Record 1
# ScNbSbOs2 PBE-GGA relaxed
data_ScNbSbOs2
_cell_length_a 4.7054
_cell_length_b 4.7054
_cell_length_c 4.7433
_cell_angle_alpha 90.00
_cell_angle_beta 90.00
_cell_angle_gamma 90.00
_symmetry_space_group_name_H-M 'P 1'
_symmetry_Int_Tables_number 1
_symmetry_space_group_name_Hall 'P 1'
loop_
_atom_site_label
_atom_site_type_symbol
_atom_site_fract_x
_atom_site_fract_y
_atom_site_fract_z
_atom_site_occupancy
Sc1 Sc 0.0000 0.0000 0.0000 1
Nb1 Nb 0.0000 0.0000 0.5000 1
Sb1 Sb 0.5000 0.5000 0.5000 1
Os1 Os 0.0000 0.5000 0.0000 1
Os2 Os 0.5000 0.0000 0.0000 1
# Formation energy (no corrections)   8.896 eV/f.u.
# Space-group type   P4/mmm (123)
# Volume   105.02 Å³ per cell
# Uncorrected energy   -6.817 eV/atom
# DOS(E_F)   6.2 states/eV per cell
# Size of the total moment   0.00 μB/f.u.

***

Record 2
# NbSbTe2Os PBE-GGA relaxed
data_NbSbTe2Os
_cell_length_a 5.3144
_cell_length_b 5.3144
_cell_length_c 4.9422
_cell_angle_alpha 90.00
_cell_angle_beta 90.00
_cell_angle_gamma 90.00
_symmetry_space_group_name_H-M 'P 1'
_symmetry_Int_Tables_number 1
_symmetry_space_group_name_Hall 'P 1'
loop_
_atom_site_label
_atom_site_type_symbol
_atom_site_fract_x
_atom_site_fract_y
_atom_site_fract_z
_atom_site_occupancy
Nb1 Nb 0.0000 0.0000 0.0000 1
Sb1 Sb 0.5000 0.5000 0.0000 1
Te1 Te 0.0000 0.5000 0.5000 1
Te2 Te 0.5000 0.0000 0.5000 1
Os1 Os 0.5000 0.5000 0.5000 1
# Formation energy (no corrections)   5.533 eV/f.u.
# Space-group type   P4/mmm (123)
# Volume   139.58 Å³ per cell
# Uncorrected energy   -5.234 eV/atom
# DOS(E_F)   4.5 states/eV per cell
# Size of the total moment   2.19 μB/f.u.
# ΔE to the lowest computed polymorph   0.000 eV per atom

***

Look up the volume of the first one.
105.02 Å³ per cell

***

Number 2 is which compound?
NbSbTe2Os